DFT (PBE) results for a relaxed structure of Re2AgIr.

The space group is I-42d (No. 122) and the conventional cell measures 7.395, 7.395 and 5.202 Å, with angles of 90.00, 90.00 and 90.00 degrees. Symmetry generates all atoms from Re at (0.199, 0.250, 0.125), Ag at (0.000, 0.000, 0.500) and Ir at (0.000, 0.000, 0.000).

The value obtained for the energy of formation from the pure elements is 398.1 kJ/mol of formula units.

DFT (PBE) results for a relaxed structure of Cu2TcBr.

The space group is Pmmm (No. 47) and the conventional cell measures 2.939, 4.416 and 4.639 Å, with angles of 90.00, 90.00 and 90.00 degrees. Symmetry generates all atoms from Cu at (0.000, 0.000, 0.000), Cu at (0.500, 0.500, 0.000), Tc at (0.000, 0.500, 0.500) and Br at (0.500, 0.000, 0.500).

The calculation puts the uncorrected formation energy at 0.780 eV per atom.

DFT (PBE) results for a relaxed structure of Be3SbPb.

The space group is Pm-3m (No. 221) and the conventional cell measures 4.749, 4.749 and 4.749 Å, with angles of 90.00, 90.00 and 90.00 degrees. Symmetry generates all atoms from Be at (0.000, 0.000, 0.500), Sb at (0.000, 0.000, 0.000) and Pb at (0.500, 0.500, 0.500).

The calculation puts the uncorrected formation energy at 1.106 eV per atom.

DFT (PBE) results for a relaxed structure of Ac2Sn3PdPt4.

The space group is P-4m2 (No. 115) and the conventional cell measures 4.555, 4.555 and 11.202 Å, with angles of 90.00, 90.00 and 90.00 degrees. Symmetry generates all atoms from Ac at (0.000, 0.500, 0.239), Sn at (0.000, 0.000, 0.000), Sn at (0.000, 0.500, 0.625), Pd at (0.500, 0.500, 0.000), Pt at (0.000, 0.000, 0.500), Pt at (0.000, 0.500, 0.860) and Pt at (0.500, 0.500, 0.500).

The value obtained for the energy of formation from the pure elements is -811.7 kJ/mol of formula units.

DFT (PBE) results for a relaxed structure of K6RbO2.

The space group is Ibam (No. 72) and the conventional cell measures 7.073, 16.161 and 16.900 Å, with angles of 90.00, 90.00 and 90.00 degrees. Symmetry generates all atoms from K at (0.059, 0.189, 0.099), K at (0.063, 0.367, 0.000), Rb at (0.000, 0.500, 0.250) and O at (0.190, 0.251, 0.500).

The calculation puts the uncorrected formation energy at -0.675 eV per atom.

DFT (PBE) results for a relaxed structure of LiCeAu.

The space group is P-6m2 (No. 187) and the conventional cell measures 4.6164, 4.6164 and 3.5953 Å, with angles of 90.00, 90.00 and 120.00 degrees. Symmetry generates all atoms from Li at (0.0000, 0.0000, 0.0000), Ce at (0.3333, 0.6667, 0.5000) and Au at (0.6667, 0.3333, 0.0000).

The value obtained for the energy of formation from the pure elements is -110.9 kJ/mol of formula units.

DFT (PBE) results for a relaxed structure of Tb3ScPb2C.

The space group is Immm (No. 71) and the conventional cell measures 4.599, 4.832 and 16.145 Å, with angles of 90.00, 90.00 and 90.00 degrees. Symmetry generates all atoms from Tb at (0.000, 0.000, 0.000), Tb at (0.000, 0.500, 0.157), Sc at (0.000, 0.000, 0.500), Pb at (0.000, 0.500, 0.359) and C at (0.000, 0.500, 0.000).

The value obtained for the energy of formation from the pure elements is -405.7 kJ/mol of formula units.

DFT (PBE) results for a relaxed structure of SbTeRh2.

The space group is I-42d (No. 122) and the conventional cell measures 6.054, 6.054 and 11.205 Å, with angles of 90.00, 90.00 and 90.00 degrees. Symmetry generates all atoms from Sb at (0.000, 0.000, 0.000), Te at (0.000, 0.000, 0.500) and Rh at (0.248, 0.250, 0.625).

The calculation puts the uncorrected formation energy at -0.060 eV per atom.

DFT (PBE) results for a relaxed structure of Ti2PdCl8.

The space group is C2/m (No. 12) and the conventional cell measures 11.682, 9.908 and 6.567 Å, with angles of 90.00, 94.59 and 90.00 degrees. Symmetry generates all atoms from Ti at (0.192, 0.000, 0.309), Pd at (0.000, 0.000, 0.000), Cl at (0.118, 0.192, 0.187), Cl at (0.125, 0.500, 0.747) and Cl at (0.174, 0.000, 0.640).

The calculation puts the uncorrected formation energy at -1.315 eV per atom.

DFT (PBE) results for a relaxed structure of CeTiNbGe2.

The space group is I-4m2 (No. 119) and the conventional cell measures 4.065, 4.065 and 12.048 Å, with angles of 90.00, 90.00 and 90.00 degrees. Symmetry generates all atoms from Ce at (0.000, 0.000, 0.000), Ti at (0.000, 0.500, 0.750), Nb at (0.000, 0.500, 0.250) and Ge at (0.000, 0.000, 0.395).

The value obtained for the energy of formation from the pure elements is -301.0 kJ/mol of formula units.

DFT (PBE) results for a relaxed structure of CsRh2Cl8.

The space group is P4/mmm (No. 123) and the conventional cell measures 6.111, 6.111 and 8.485 Å, with angles of 90.00, 90.00 and 90.00 degrees. Symmetry generates all atoms from Cs at (0.000, 0.000, 0.000), Rh at (0.000, 0.500, 0.500) and Cl at (0.252, 0.252, 0.329).

The calculation puts the uncorrected formation energy at -0.300 eV per atom.

DFT (PBE) results for a relaxed structure of ThZn9Pd2.

The space group is P6/mmm (No. 191) and the conventional cell measures 8.7526, 8.7526 and 3.0685 Å, with angles of 90.00, 90.00 and 120.00 degrees. Symmetry generates all atoms from Th at (0.0000, 0.0000, 0.0000), Zn at (0.0000, 0.5000, 0.0000), Zn at (0.1868, 0.3736, 0.5000) and Pd at (0.3333, 0.6667, 0.0000).

The value obtained for the energy of formation from the pure elements is -275.2 kJ/mol of formula units.

DFT (PBE) results for a relaxed structure of InCu2IO6.

The space group is C2/c (No. 15) and the conventional cell measures 10.378, 9.078 and 5.646 Å, with angles of 90.00, 96.18 and 90.00 degrees. Symmetry generates all atoms from In at (0.000, 0.090, 0.250), Cu at (0.248, 0.417, 0.102), I at (0.000, 0.297, 0.750), O at (0.110, 0.108, 0.622), O at (0.123, 0.217, 0.053) and O at (0.152, 0.457, 0.795).

The calculation puts the uncorrected formation energy at -0.523 eV per atom.

DFT (PBE) results for a relaxed structure of La4Sm11Dy9.

The space group is Cmmm (No. 65) and the conventional cell measures 17.008, 25.494 and 3.734 Å, with angles of 90.00, 90.00 and 90.00 degrees. Symmetry generates all atoms from La at (0.154, 0.100, 0.000), Sm at (0.000, 0.136, 0.500), Sm at (0.000, 0.341, 0.500), Sm at (0.000, 0.500, 0.500), Sm at (0.213, 0.000, 0.500), Sm at (0.226, 0.319, 0.500), Dy at (0.000, 0.000, 0.000), Dy at (0.101, 0.237, 0.000) and Dy at (0.138, 0.427, 0.000).

The value obtained for the energy of formation from the pure elements is 169.8 kJ/mol of formula units.

DFT (PBE) results for a relaxed structure of Ba3Al2Hg4.

The space group is C2/m (No. 12) and the conventional cell measures 12.490, 5.004 and 9.605 Å, with angles of 90.00, 109.06 and 90.00 degrees. Symmetry generates all atoms from Ba at (0.000, 0.000, 0.000), Ba at (0.126, 0.500, 0.687), Al at (0.168, 0.500, 0.337), Hg at (0.107, 0.000, 0.414) and Hg at (0.219, 0.500, 0.077).

The value obtained for the energy of formation from the pure elements is -337.0 kJ/mol of formula units.

DFT (PBE) results for a relaxed structure of Ba2AcPt2O6.

The space group is R-3m (No. 166, hexagonal axes) and the conventional cell measures 6.2466, 6.2466 and 19.4350 Å, with angles of 90.00, 90.00 and 120.00 degrees. Symmetry generates all atoms from Ba at (0.0000, 0.0000, 0.2079), Ac at (0.0000, 0.0000, 0.0000), Pt at (0.0000, 0.0000, 0.4196) and O at (0.0289, 0.5144, 0.7623).

The calculation puts the uncorrected formation energy at -1.596 eV per atom.

DFT (PBE) results for a relaxed structure of SrPrSm.

The space group is P3m1 (No. 156) and the conventional cell measures 3.8174, 3.8174 and 9.4948 Å, with angles of 90.00, 90.00 and 120.00 degrees. Symmetry generates all atoms from Sr at (0.0000, 0.0000, 0.0000), Pr at (0.6667, 0.3333, 0.3554) and Sm at (0.3333, 0.6667, 0.6516).

The value obtained for the energy of formation from the pure elements is 29.7 kJ/mol of formula units.

DFT (PBE) results for a relaxed structure of TaGaN2Cl.

The space group is P4/mmm (No. 123) and the conventional cell measures 3.936, 3.936 and 4.706 Å, with angles of 90.00, 90.00 and 90.00 degrees. Symmetry generates all atoms from Ta at (0.000, 0.000, 0.000), Ga at (0.500, 0.500, 0.000), N at (0.000, 0.500, 0.500) and Cl at (0.000, 0.000, 0.500).

The calculation puts the uncorrected formation energy at 2.128 eV per atom.

DFT (PBE) results for a relaxed structure of Tl2CoP.

The space group is P2/m (No. 10) and the conventional cell measures 3.945, 3.613 and 6.070 Å, with angles of 90.00, 106.50 and 90.00 degrees. Symmetry generates all atoms from Tl at (0.019, 0.000, 0.255), Co at (0.500, 0.500, 0.500) and P at (0.500, 0.500, 0.000).

The value obtained for the energy of formation from the pure elements is 260.4 kJ/mol of formula units.

DFT (PBE) results for a relaxed structure of CeSeS2.

The space group is Pm (No. 6) and the conventional cell measures 4.318, 5.300 and 4.354 Å, with angles of 90.00, 93.97 and 90.00 degrees. Symmetry generates all atoms from Ce at (0.000, 0.000, 0.000), Se at (0.494, 0.000, 0.503), S at (0.084, 0.500, 0.774) and S at (0.777, 0.500, 0.105).

The calculation puts the uncorrected formation energy at -1.064 eV per atom.

DFT (PBE) results for a relaxed structure of Ac3Pr4Sm3.

The space group is Amm2 (No. 38) and the conventional cell measures 3.936, 13.952 and 14.097 Å, with angles of 90.00, 90.00 and 90.00 degrees. Symmetry generates all atoms from Ac at (0.000, 0.000, 0.000), Ac at (0.500, 0.248, 0.579), Pr at (0.500, 0.000, 0.210), Pr at (0.500, 0.000, 0.457), Pr at (0.500, 0.128, 0.820), Sm at (0.000, 0.000, 0.656) and Sm at (0.000, 0.171, 0.331).

The value obtained for the energy of formation from the pure elements is 75.1 kJ/mol of formula units.

DFT (PBE) results for a relaxed structure of Co2NiW.

The space group is P4mm (No. 99) and the conventional cell measures 3.006, 3.006 and 5.405 Å, with angles of 90.00, 90.00 and 90.00 degrees. Symmetry generates all atoms from Co at (0.000, 0.000, 0.000), Co at (0.500, 0.500, 0.219), Ni at (0.000, 0.000, 0.453) and W at (0.500, 0.500, 0.725).

The value obtained for the energy of formation from the pure elements is 60.7 kJ/mol of formula units.

DFT (PBE) results for a relaxed structure of NdBe2H7.

The space group is Cmmm (No. 65) and the conventional cell measures 5.284, 8.419 and 3.330 Å, with angles of 90.00, 90.00 and 90.00 degrees. Symmetry generates all atoms from Nd at (0.000, 0.000, 0.000), Be at (0.000, 0.311, 0.500), H at (0.000, 0.289, 0.000), H at (0.000, 0.500, 0.500) and H at (0.188, 0.141, 0.500).

| no. | DFT total energy (eV/atom) | calculated density (g/cm³) |
| --- | --- | --- |
| 1 | -8.12 | 15.7 |
| 2 | -4.28 | 8.4 |
| 3 | -2.70 | 5.5 |
| 4 | -5.80 | 12.1 |
| 5 | -2.62 | 1.2 |
| 6 | -4.09 | 8.6 |
| 7 | -5.87 | 8.8 |
| 8 | -5.55 | 7.4 |
| 9 | -4.57 | 2.1 |
| 10 | -7.25 | 7.1 |
| 11 | -3.06 | 3.3 |
| 12 | -2.68 | 8.4 |
| 13 | -4.75 | 5.8 |
| 14 | -4.64 | 7.5 |
| 15 | -1.99 | 7.4 |
| 16 | -6.12 | 7.5 |
| 17 | -3.62 | 5.3 |
| 18 | -4.55 | 7.2 |
| 19 | -3.64 | 10.0 |
| 20 | -5.48 | 4.7 |
| 21 | -4.48 | 7.3 |
| 22 | -8.08 | 12.3 |
| 23 | -3.61 | 3.8 |